Entry 1:
Computed, not measured: a relaxed AcZrRu crystal at the GGA-PBE level of DFT.

Cell and atoms, written as POSCAR:
```
AcZrRu
1.0
7.393 0.000 0.000
0.000 4.501 0.000
-0.608 0.000 13.819
Ac Zr Ru
6 6 6
direct
0.002 0.250 0.127
0.121 0.750 0.583
0.481 0.750 0.790
0.519 0.250 0.210
0.879 0.250 0.417
0.998 0.750 0.873
0.162 0.750 0.301
0.360 0.250 0.960
0.465 0.250 0.581
0.535 0.750 0.419
0.640 0.750 0.040
0.838 0.250 0.699
0.194 0.250 0.738
0.290 0.750 0.063
0.320 0.250 0.395
0.680 0.750 0.605
0.710 0.250 0.937
0.806 0.750 0.262
```

Its density of states at the Fermi level is 2.6 states/eV/f.u. As for the total magnetization: 0.00 μB per cell. As for the crystal system: monoclinic. The value obtained for the total energy is -135.3 eV for the cell shown.



Entry 2:
Computed, not measured: a relaxed Ac4S crystal at the GGA-PBE level of DFT.

Cell and atoms, written as POSCAR:
```
Ac4S
1.0
5.915 0.000 0.000
0.000 5.915 0.000
0.000 0.000 5.915
Ac S
4 1
direct
0.000 0.000 0.000
0.000 0.500 0.500
0.500 0.000 0.500
0.500 0.500 0.000
0.500 0.500 0.500
```

Its energy relative to the elements, uncorrected is -711 meV/atom. Its density of states at the Fermi level is 5.7 states/eV/f.u. As for the total magnetization: 0.00 μB per cell. As for the crystal system: cubic. The value obtained for the total energy is -24.1 eV for the cell shown.



Entry 3:
Computed, not measured: a relaxed AcS2 crystal at the GGA-PBE level of DFT.

Cell and atoms, written as POSCAR:
```
AcS2
1.0
8.468 0.000 0.000
0.000 4.285 0.000
-0.025 0.000 8.463
Ac S
4 8
direct
0.223 0.209 0.132
0.223 0.291 0.632
0.777 0.709 0.368
0.777 0.791 0.868
0.135 0.736 0.374
0.135 0.764 0.874
0.498 0.647 0.102
0.498 0.853 0.602
0.502 0.147 0.398
0.502 0.353 0.898
0.865 0.236 0.126
0.865 0.264 0.626
```

Its offset from the most stable computed form is 0.000 eV per atom. Its energy relative to the elements, uncorrected is -1862 meV/atom. As for the total magnetization: 0.00 μB per cell. As for the crystal system: monoclinic. The value obtained for the total energy is -71.8 eV for the cell shown.



Entry 4:
Computed, not measured: a relaxed AcS2 crystal at the GGA-PBE level of DFT.

Cell and atoms, written as POSCAR:
```
AcS2
1.0
-2.035 2.035 4.490
2.035 -2.035 4.490
2.035 2.035 -4.490
Ac S
1 2
direct
0.000 0.000 0.000
0.358 0.358 0.000
0.642 0.642 0.000
```

Its offset from the most stable computed form is 0.365 eV per atom. Its energy relative to the elements, uncorrected is -1497 meV/atom. Its density of states at the Fermi level is 1.7 states/eV/f.u. As for the total magnetization: 0.00 μB per cell. As for the crystal system: tetragonal. The value obtained for the total energy is -16.9 eV for the cell shown.



Entry 5:
Computed, not measured: a relaxed AcS5 crystal at the GGA-PBE level of DFT.

Cell and atoms, written as POSCAR:
```
AcS5
1.0
4.518 0.000 0.000
0.000 10.427 0.000
-1.966 0.000 7.350
Ac S
2 10
direct
0.195 0.250 0.302
0.805 0.750 0.698
0.210 0.750 0.399
0.401 0.649 0.916
0.401 0.851 0.916
0.455 0.562 0.385
0.455 0.938 0.385
0.545 0.062 0.615
0.545 0.438 0.615
0.599 0.149 0.084
0.599 0.351 0.084
0.790 0.250 0.601
```

Its energy relative to the elements, uncorrected is -675 meV/atom. Its density of states at the Fermi level is 1.3 states/eV/f.u. As for the total magnetization: 0.00 μB per cell. As for the crystal system: monoclinic. The value obtained for the total energy is -57.6 eV for the cell shown.



Entry 6:
Computed, not measured: a relaxed Ac4S5 crystal at the GGA-PBE level of DFT.

Cell and atoms, written as POSCAR:
```
Ac4S5
1.0
-1.940 4.623 7.232
1.940 -4.623 7.232
1.940 4.623 -7.232
Ac S
4 5
direct
0.088 0.873 0.215
0.342 0.127 0.215
0.658 0.873 0.785
0.912 0.127 0.785
0.000 0.500 0.500
0.248 0.748 0.500
0.345 0.500 0.845
0.655 0.500 0.155
0.752 0.252 0.500
```

Its energy relative to the elements, uncorrected is -1563 meV/atom. Its density of states at the Fermi level is 6.3 states/eV/f.u. As for the total magnetization: 0.01 μB per cell. As for the crystal system: orthorhombic. The value obtained for the total energy is -51.1 eV for the cell shown.



Entry 7:
Computed, not measured: a relaxed Ac3S5 crystal at the GGA-PBE level of DFT.

Cell and atoms, written as POSCAR:
```
Ac3S5
1.0
9.019 0.000 0.000
-4.510 7.811 0.000
0.000 0.000 5.986
Ac S
6 10
direct
0.000 0.362 0.250
0.000 0.638 0.750
0.362 0.000 0.250
0.362 0.362 0.750
0.638 0.000 0.750
0.638 0.638 0.250
0.000 0.284 0.750
0.000 0.716 0.250
0.284 0.000 0.750
0.284 0.284 0.250
0.333 0.667 0.000
0.333 0.667 0.500
0.667 0.333 0.000
0.667 0.333 0.500
0.716 0.000 0.250
0.716 0.716 0.750
```

Its energy relative to the elements, uncorrected is -2010 meV/atom. Its density of states at the Fermi level is 1.6 states/eV/f.u. As for the total magnetization: 0.01 μB per cell. As for the crystal system: hexagonal. The value obtained for the total energy is -98.1 eV for the cell shown.



Entry 8:
Computed, not measured: a relaxed AcSb2S4 crystal at the GGA-PBE level of DFT.

Cell and atoms, written as POSCAR:
```
AcSb2S4
1.0
0.000 6.108 6.977
4.344 0.000 6.977
4.344 6.108 0.000
Ac Sb S
2 4 8
direct
0.125 0.125 0.125
0.875 0.875 0.875
0.000 0.500 0.500
0.500 0.000 0.500
0.500 0.500 0.000
0.500 0.500 0.500
0.184 0.738 0.373
0.205 0.373 0.738
0.262 0.816 0.795
0.373 0.205 0.184
0.627 0.795 0.816
0.738 0.184 0.205
0.795 0.627 0.262
0.816 0.262 0.627
```

Its offset from the most stable computed form is 0.046 eV per atom. Its energy relative to the elements, uncorrected is -777 meV/atom. Its density of states at the Fermi level is 0.7 states/eV/f.u. As for the total magnetization: 0.00 μB per cell. As for the crystal system: orthorhombic. The value obtained for the total energy is -68.6 eV for the cell shown.



Entry 9:
Computed, not measured: a relaxed Ac4Sb2S crystal at the GGA-PBE level of DFT.

Cell and atoms, written as POSCAR:
```
Ac4Sb2S
1.0
-2.782 2.782 8.633
2.782 -2.782 8.633
2.782 2.782 -8.633
Ac Sb S
4 2 1
direct
0.000 0.500 0.500
0.173 0.173 0.000
0.500 0.000 0.500
0.827 0.827 0.000
0.368 0.368 0.000
0.632 0.632 0.000
0.000 0.000 0.000
```

Its energy relative to the elements, uncorrected is -953 meV/atom. Its density of states at the Fermi level is 8.0 states/eV/f.u. As for the total magnetization: 0.00 μB per cell. As for the crystal system: tetragonal. The value obtained for the total energy is -35.5 eV for the cell shown.



Entry 10:
Computed, not measured: a relaxed Ac3Sb2S crystal at the GGA-PBE level of DFT.

Cell and atoms, written as POSCAR:
```
Ac3Sb2S
1.0
-2.337 2.337 9.825
2.337 -2.337 9.825
2.337 2.337 -9.825
Ac Sb S
3 2 1
direct
0.000 0.000 0.000
0.340 0.340 0.000
0.660 0.660 0.000
0.167 0.167 0.000
0.833 0.833 0.000
0.500 0.500 0.000
```

Its offset from the most stable computed form is 0.026 eV per atom. Its energy relative to the elements, uncorrected is -1431 meV/atom. Its density of states at the Fermi level is 2.2 states/eV/f.u. As for the total magnetization: 0.00 μB per cell. As for the crystal system: tetragonal. The value obtained for the total energy is -33.3 eV for the cell shown.



Entry 11:
Computed, not measured: a relaxed Ac2SbS crystal at the GGA-PBE level of DFT.

Cell and atoms, written as POSCAR:
```
Ac2SbS
1.0
3.921 0.000 0.000
0.000 3.921 0.000
0.000 0.000 7.825
Ac Sb S
2 1 1
direct
0.000 0.000 0.244
0.000 0.000 0.756
0.500 0.500 0.500
0.500 0.500 0.000
```

Its offset from the most stable computed form is 0.298 eV per atom. Its energy relative to the elements, uncorrected is -1288 meV/atom. Its density of states at the Fermi level is 2.9 states/eV/f.u. As for the total magnetization: 0.00 μB per cell. As for the crystal system: tetragonal. The value obtained for the total energy is -21.6 eV for the cell shown.



Entry 12:
Computed, not measured: a relaxed Ac5Sb4S crystal at the GGA-PBE level of DFT.

Cell and atoms, written as POSCAR:
```
Ac5Sb4S
1.0
12.218 -2.357 0.000
12.218 2.357 0.000
-1.825 0.000 6.433
Ac Sb S
5 4 1
direct
0.000 0.000 0.000
0.202 0.202 0.202
0.406 0.406 0.406
0.594 0.594 0.594
0.798 0.798 0.798
0.195 0.195 0.695
0.401 0.401 0.901
0.599 0.599 0.099
0.805 0.805 0.305
0.000 0.000 0.500
```

Its energy relative to the elements, uncorrected is -1357 meV/atom. Its density of states at the Fermi level is 3.4 states/eV/f.u. As for the total magnetization: 0.00 μB per cell. As for the crystal system: monoclinic. The value obtained for the total energy is -54.7 eV for the cell shown.



no.,calculated density (g/cm³)
1,9.1
2,7.5
3,6.3
4,6.5
5,3.7
6,6.8
7,6.6
8,5.4
9,7.4
10,7.4
11,8.4
12,7.4